# 1
# Sm3S2O (GGA-PBE, relaxed)
data_Sm3S2O
_cell_length_a 3.7678
_cell_length_b 3.7678
_cell_length_c 19.9858
_cell_angle_alpha 90.00
_cell_angle_beta 90.00
_cell_angle_gamma 120.00
_symmetry_space_group_name_H-M 'P 63/m m c'
_symmetry_Int_Tables_number 194
_symmetry_space_group_name_Hall '-P 6c 2c'
loop_
_atom_site_label
_atom_site_fract_x
_atom_site_fract_y
_atom_site_fract_z
Sm1 0.0000 0.0000 0.0000
Sm2 0.3333 0.6667 0.1722
S1 0.3333 0.6667 0.5883
O1 0.0000 0.0000 0.2500
# * energy: -6.6395 eV/atom
# * energy relative to the elements, uncorrected: -2078 meV/atom



# 2
# Sm3S3O (GGA-PBE, relaxed)
data_Sm3S3O
_cell_length_a 9.7686
_cell_length_b 9.7686
_cell_length_c 5.6683
_cell_angle_alpha 90.00
_cell_angle_beta 90.00
_cell_angle_gamma 120.00
_symmetry_space_group_name_H-M 'R 3 m'
_symmetry_Int_Tables_number 160
_symmetry_space_group_name_Hall 'R 3 -2"'
loop_
_atom_site_label
_atom_site_fract_x
_atom_site_fract_y
_atom_site_fract_z
Sm1 0.2033 0.4066 0.0000
S1 0.1866 0.3732 0.4892
O1 0.0000 0.0000 0.2781
# * energy: -6.5443 eV/atom
# * energy relative to the elements, uncorrected: -2045 meV/atom